An optimized crystal structure of CuRhSe, computed with PBE.

a = 3.196 Å, b = 4.140 Å, c = 4.518 Å
α = 90.00°, β = 110.39°, γ = 90.00°
Positions (direct):
1 Cu 0.000 0.000 0.000
2 Rh 0.440 0.500 0.879
3 Se 0.151 0.500 0.308

## Properties
Formation energy (no corrections), meV/atom: 85
Size of the total moment, μB/f.u.: 0.00
Uncorrected energy, eV for the cell shown: -14.68
D(E_F), states/eV per cell: 2.0
Calculated volume, Å³ per cell: 56.0
Relative energy among the computed polymorphs, eV per formula unit: 0.28